i) A plane-wave DFT calculation with GGA-PBE was carried out for a relaxed structure of Al3GeO. Values from VASP.

M_tot: 0.00 μB/cell

The structure in Quantum ESPRESSO input format:
```
&SYSTEM
  ibrav = 0, nat = 5, ntyp = 3
/
ATOMIC_SPECIES
Al 26.98 Al.upf
Ge 72.64 Ge.upf
O 16.00 O.upf
ATOMIC_POSITIONS crystal
Al 0.0000 0.0000 0.5000
Al 0.0000 0.5000 0.0000
Al 0.5000 0.0000 0.0000
Ge 0.5000 0.5000 0.5000
O 0.0000 0.0000 0.0000
CELL_PARAMETERS angstrom
4.2558 0.0000 0.0000
0.0000 4.2558 0.0000
0.0000 0.0000 4.2558
```


ii) A plane-wave DFT calculation with GGA-PBE was carried out for a relaxed structure of Al3GeO. Values from VASP.

M_tot: 0.00 μB/cell

The structure in Quantum ESPRESSO input format:
```
&SYSTEM
  ibrav = 0, nat = 5, ntyp = 3
/
ATOMIC_SPECIES
Al 26.98 Al.upf
Ge 72.64 Ge.upf
O 16.00 O.upf
ATOMIC_POSITIONS crystal
Al 0.0000 0.0000 0.5000
Al 0.0000 0.5000 0.0000
Al 0.5000 0.0000 0.0000
Ge 0.0000 0.0000 0.0000
O 0.5000 0.5000 0.5000
CELL_PARAMETERS angstrom
4.8477 0.0000 0.0000
0.0000 4.8477 0.0000
0.0000 0.0000 4.8477
```


Result of the stability comparison: ii) is the least stable of them.


i) A plane-wave DFT calculation with GGA-PBE was carried out for a relaxed structure of AlGeP2O. Values from VASP.

M_tot: 0.00 μB/cell

The structure in Quantum ESPRESSO input format:
```
&SYSTEM
  ibrav = 0, nat = 5, ntyp = 4
/
ATOMIC_SPECIES
Al 26.98 Al.upf
Ge 72.64 Ge.upf
P 30.97 P.upf
O 16.00 O.upf
ATOMIC_POSITIONS crystal
Al 0.0000 0.0000 0.0000
Ge 0.5000 0.5000 0.5000
P 0.0000 0.5000 0.0000
P 0.5000 0.0000 0.0000
O 0.0000 0.0000 0.5000
CELL_PARAMETERS angstrom
4.9984 0.0000 0.0000
0.0000 4.9984 0.0000
0.0000 0.0000 3.3696
```


ii) A plane-wave DFT calculation with GGA-PBE was carried out for a relaxed structure of AlGeP2O. Values from VASP.

M_tot: 0.00 μB/cell

The structure in Quantum ESPRESSO input format:
```
&SYSTEM
  ibrav = 0, nat = 5, ntyp = 4
/
ATOMIC_SPECIES
Al 26.98 Al.upf
Ge 72.64 Ge.upf
P 30.97 P.upf
O 16.00 O.upf
ATOMIC_POSITIONS crystal
Al 0.0000 0.0000 0.0000
Ge 0.5000 0.5000 0.5000
P 0.0000 0.5000 0.5000
P 0.5000 0.0000 0.5000
O 0.5000 0.5000 0.0000
CELL_PARAMETERS angstrom
4.8785 0.0000 0.0000
0.0000 4.8785 0.0000
0.0000 0.0000 3.5413
```


Result of the stability comparison: ii) is the least stable of them.


i) A plane-wave DFT calculation with GGA-PBE was carried out for a relaxed structure of AlGePO2. Values from VASP.

M_tot: 0.00 μB/cell

The structure in Quantum ESPRESSO input format:
```
&SYSTEM
  ibrav = 0, nat = 5, ntyp = 4
/
ATOMIC_SPECIES
Al 26.98 Al.upf
Ge 72.64 Ge.upf
P 30.97 P.upf
O 16.00 O.upf
ATOMIC_POSITIONS crystal
Al 0.0000 0.0000 0.0000
Ge 0.5000 0.5000 0.5000
P 0.5000 0.5000 0.0000
O 0.0000 0.5000 0.5000
O 0.5000 0.0000 0.5000
CELL_PARAMETERS angstrom
3.6476 0.0000 0.0000
0.0000 3.6476 0.0000
0.0000 0.0000 5.1907
```


ii) A plane-wave DFT calculation with GGA-PBE was carried out for a relaxed structure of AlGePO2. Values from VASP.

M_tot: 0.00 μB/cell

The structure in Quantum ESPRESSO input format:
```
&SYSTEM
  ibrav = 0, nat = 5, ntyp = 4
/
ATOMIC_SPECIES
Al 26.98 Al.upf
Ge 72.64 Ge.upf
P 30.97 P.upf
O 16.00 O.upf
ATOMIC_POSITIONS crystal
Al 0.0000 0.0000 0.0000
Ge 0.5000 0.5000 0.5000
P 0.0000 0.0000 0.5000
O 0.0000 0.5000 0.0000
O 0.5000 0.0000 0.0000
CELL_PARAMETERS angstrom
3.5945 0.0000 0.0000
0.0000 3.5945 0.0000
0.0000 0.0000 5.3448
```


Result of the stability comparison: i) is the least stable of them.